DFT (PBE) results for a relaxed structure of Na2CaRuO4.

Properties
VASP energy (eV/atom): -5.906
Energy relative to the elements, uncorrected (eV per formula unit): -13.5

Cell: 6.5399 6.5399 6.5399 Å, 120.10 119.15 90.66°
Fractional coordinates of all 16 atoms:
Na 0.0000 0.0000 0.0000
Na 0.5000 0.0000 0.0000
Na 0.5000 0.0000 0.5000
Na 0.5000 0.5000 0.5000
Ca 0.0000 0.5000 0.5000
Ca 0.5000 0.5000 0.0000
Ru 0.0000 0.0000 0.5000
Ru 0.0000 0.5000 0.0000
O 0.2050 0.7491 0.4559
O 0.2068 0.2509 0.9559
O 0.2176 0.2241 0.5065
O 0.2176 0.7111 0.9935
O 0.7824 0.2889 0.0065
O 0.7824 0.7759 0.4935
O 0.7932 0.7491 0.0441
O 0.7950 0.2509 0.5441


DFT (PBE) results for a relaxed structure of AcAsRhO.

Properties
VASP energy (eV/atom): -7.217
Energy relative to the elements, uncorrected (eV per formula unit): -7.8

Cell: 4.2406 4.2406 8.8224 Å, 90.00 90.00 90.00°
Fractional coordinates of all 8 atoms:
Ac 0.2500 0.2500 0.1446
Ac 0.7500 0.7500 0.8554
As 0.2500 0.2500 0.6454
As 0.7500 0.7500 0.3546
Rh 0.2500 0.7500 0.5000
Rh 0.7500 0.2500 0.5000
O 0.2500 0.7500 0.0000
O 0.7500 0.2500 0.0000


DFT (PBE) results for a relaxed structure of Pu3Ag2Pt3.

Properties
VASP energy (eV/atom): -8.829
ΔH_f (0 K) (meV per atom): -476

Cell: 8.4857 8.4857 5.6092 Å, 90.00 90.00 120.00°
Fractional coordinates of all 16 atoms:
Pu 0.0000 0.2776 0.2500
Pu 0.0000 0.7224 0.7500
Pu 0.2776 0.0000 0.2500
Pu 0.2776 0.2776 0.7500
Pu 0.7224 0.0000 0.7500
Pu 0.7224 0.7224 0.2500
Ag 0.3333 0.6667 0.0000
Ag 0.3333 0.6667 0.5000
Ag 0.6667 0.3333 0.0000
Ag 0.6667 0.3333 0.5000
Pt 0.0000 0.3815 0.7500
Pt 0.0000 0.6185 0.2500
Pt 0.3815 0.0000 0.7500
Pt 0.3815 0.3815 0.2500
Pt 0.6185 0.0000 0.2500
Pt 0.6185 0.6185 0.7500


DFT (PBE) results for a relaxed structure of In2Co.

Properties
VASP energy (eV/atom): -4.071
ΔH_f (0 K) (meV per atom): 123

Cell: 9.6600 3.6863 7.3555 Å, 90.00 119.57 90.00°
Fractional coordinates of all 12 atoms:
In 0.0956 0.0000 0.3710
In 0.1713 0.5000 0.0774
In 0.3287 0.0000 0.9226
In 0.4044 0.5000 0.6290
In 0.5956 0.5000 0.3710
In 0.6713 0.0000 0.0774
In 0.8287 0.5000 0.9226
In 0.9044 0.0000 0.6290
Co 0.1281 0.5000 0.6648
Co 0.3719 0.0000 0.3352
Co 0.6281 0.0000 0.6648
Co 0.8719 0.5000 0.3352


DFT (PBE) results for a relaxed structure of TbEr2Zn3.

Properties
VASP energy (eV/atom): -3.274
ΔH_f (0 K) (meV per atom): -344

Cell: 5.0258 5.0258 6.1602 Å, 90.00 90.00 120.00°
Fractional coordinates of all 6 atoms:
Tb 0.0000 0.0000 0.0000
Er 0.3333 0.6667 0.6628
Er 0.6667 0.3333 0.3372
Zn 0.0000 0.0000 0.5000
Zn 0.3333 0.6667 0.1661
Zn 0.6667 0.3333 0.8339


DFT (PBE) results for a relaxed structure of ReIrOs2.

Properties
VASP energy (eV/atom): -10.885
ΔH_f (0 K) (meV per atom): 57
Excess energy over the best structure of this formula in the dataset (eV/atom): 0.171

Cell: 2.7404 2.7404 26.8203 Å, 90.00 90.00 120.00°
Fractional coordinates of all 12 atoms:
Re 0.0000 0.0000 0.0000
Re 0.3333 0.6667 0.6667
Re 0.6667 0.3333 0.3333
Ir 0.0000 0.0000 0.5000
Ir 0.3333 0.6667 0.1667
Ir 0.6667 0.3333 0.8333
Os 0.0000 0.0000 0.2502
Os 0.0000 0.0000 0.7498
Os 0.3333 0.6667 0.4165
Os 0.3333 0.6667 0.9169
Os 0.6667 0.3333 0.0831
Os 0.6667 0.3333 0.5835


DFT (PBE) results for a relaxed structure of HfAl2Co2.

Properties
VASP energy (eV/atom): -6.714
ΔH_f (0 K) (meV per atom): -383
Excess energy over the best structure of this formula in the dataset (eV/atom): 0.033

Cell: 7.1860 7.1860 2.7022 Å, 90.00 90.00 90.00°
Fractional coordinates of all 10 atoms:
Hf 0.0000 0.0000 0.0000
Hf 0.5000 0.5000 0.0000
Al 0.1263 0.3737 0.0000
Al 0.3737 0.8737 0.0000
Al 0.6263 0.1263 0.0000
Al 0.8737 0.6263 0.0000
Co 0.1701 0.6701 0.5000
Co 0.3299 0.1701 0.5000
Co 0.6701 0.8299 0.5000
Co 0.8299 0.3299 0.5000


DFT (PBE) results for a relaxed structure of PrCr2B6.

Properties
VASP energy (eV/atom): -7.645
ΔH_f (0 K) (meV per atom): -524

Cell: 5.5430 5.5430 5.5430 Å, 147.38 106.99 82.27°
Fractional coordinates of all 9 atoms:
Pr 0.0000 0.0000 0.0000
Cr 0.3461 0.8461 0.5000
Cr 0.6539 0.1539 0.5000
B 0.0674 0.3022 0.7652
B 0.3619 0.5000 0.8619
B 0.4630 0.6978 0.7652
B 0.5370 0.3022 0.2348
B 0.6381 0.5000 0.1381
B 0.9326 0.6978 0.2348


DFT (PBE) results for a relaxed structure of Na3B4C2.

Properties
VASP energy (eV/atom): -5.316
ΔH_f (0 K) (meV per atom): 141
Excess energy over the best structure of this formula in the dataset (eV/atom): 0.043

Cell: 4.9998 5.0006 8.9924 Å, 106.10 90.12 119.64°
Fractional coordinates of all 18 atoms:
Na 0.0000 0.0000 0.0000
Na 0.1644 0.3321 0.5000
Na 0.3323 0.6674 0.9999
Na 0.5000 0.0000 0.5000
Na 0.6677 0.3326 0.0001
Na 0.8356 0.6679 0.5000
B 0.0656 0.4959 0.2500
B 0.2376 0.1547 0.7500
B 0.4129 0.1487 0.2500
B 0.4199 0.5035 0.2500
B 0.5801 0.4965 0.7500
B 0.5871 0.8513 0.7500
B 0.7624 0.8453 0.2500
B 0.9344 0.5041 0.7500
C 0.0872 0.8360 0.2500
C 0.2474 0.8294 0.7500
C 0.7526 0.1706 0.2500
C 0.9128 0.1640 0.7500


DFT (PBE) results for a relaxed structure of CsLiIr3.

Properties
VASP energy (eV/atom): -4.260
ΔH_f (0 K) (meV per atom): 1610
Excess energy over the best structure of this formula in the dataset (eV/atom): 0.000

Cell: 4.5141 4.5141 4.5141 Å, 90.00 90.00 90.00°
Fractional coordinates of all 5 atoms:
Cs 0.0000 0.0000 0.0000
Li 0.5000 0.5000 0.5000
Ir 0.0000 0.5000 0.5000
Ir 0.5000 0.0000 0.5000
Ir 0.5000 0.5000 0.0000


DFT (PBE) results for a relaxed structure of SmTc2BC.

Properties
VASP energy (eV/atom): -8.587
ΔH_f (0 K) (meV per atom): -317

Cell: 5.6807 5.6807 7.1608 Å, 90.00 90.00 142.18°
Fractional coordinates of all 10 atoms:
Sm 0.0408 0.9592 0.7500
Sm 0.9592 0.0408 0.2500
Tc 0.3224 0.6776 0.5634
Tc 0.3224 0.6776 0.9366
Tc 0.6776 0.3224 0.0634
Tc 0.6776 0.3224 0.4366
B 0.2318 0.7682 0.2500
B 0.7682 0.2318 0.7500
C 0.5000 0.5000 0.0000
C 0.5000 0.5000 0.5000


DFT (PBE) results for a relaxed structure of ZrMoCl.

Properties
VASP energy (eV/atom): -7.047
Excess energy over the best structure of this formula in the dataset (eV/atom): 0.060
Energy relative to the elements, uncorrected (eV per formula unit): 0.1

Cell: 2.9222 2.9222 15.8845 Å, 90.00 90.00 90.00°
Fractional coordinates of all 6 atoms:
Zr 0.0000 0.0000 0.0000
Zr 0.5000 0.5000 0.5000
Mo 0.0000 0.0000 0.3608
Mo 0.5000 0.5000 0.8608
Cl 0.0000 0.0000 0.6119
Cl 0.5000 0.5000 0.1119


DFT (PBE) results for a relaxed structure of RbSr3S.

Properties
VASP energy (eV/atom): -2.638
Excess energy over the best structure of this formula in the dataset (eV/atom): 0.000
Energy relative to the elements, uncorrected (eV per formula unit): -3.1

Cell: 6.1892 6.1892 6.1892 Å, 90.00 90.00 90.00°
Fractional coordinates of all 5 atoms:
Rb 0.0000 0.0000 0.0000
Sr 0.0000 0.5000 0.5000
Sr 0.5000 0.0000 0.5000
Sr 0.5000 0.5000 0.0000
S 0.5000 0.5000 0.5000


DFT (PBE) results for a relaxed structure of CaSmIn2.

Properties
VASP energy (eV/atom): -3.336
ΔH_f (0 K) (meV per atom): -286

Cell: 3.7311 3.7311 30.4086 Å, 90.00 90.00 120.00°
Fractional coordinates of all 12 atoms:
Ca 0.0000 0.0000 0.0000
Ca 0.3333 0.6667 0.6667
Ca 0.6667 0.3333 0.3333
Sm 0.0000 0.0000 0.5000
Sm 0.3333 0.6667 0.1667
Sm 0.6667 0.3333 0.8333
In 0.0000 0.0000 0.2498
In 0.0000 0.0000 0.7502
In 0.3333 0.6667 0.4169
In 0.3333 0.6667 0.9165
In 0.6667 0.3333 0.0835
In 0.6667 0.3333 0.5831


DFT (PBE) results for a relaxed structure of TeMoSe4.

Properties
VASP energy (eV/atom): -3.675
Excess energy over the best structure of this formula in the dataset (eV/atom): 1.181
Energy relative to the elements, uncorrected (eV per formula unit): 5.9

Cell: 5.7243 5.7243 5.7243 Å, 60.00 60.00 60.00°
Fractional coordinates of all 6 atoms:
Te 0.0000 0.0000 0.0000
Mo 0.7500 0.7500 0.7500
Se 0.3774 0.3774 0.3774
Se 0.3774 0.3774 0.8679
Se 0.3774 0.8679 0.3774
Se 0.8679 0.3774 0.3774


DFT (PBE) results for a relaxed structure of LiCd2FePt.

Properties
VASP energy (eV/atom): -3.091
ΔH_f (0 K) (meV per atom): 559

Cell: 5.1661 5.1661 4.5180 Å, 90.00 90.00 90.00°
Fractional coordinates of all 5 atoms:
Li 0.0000 0.0000 0.0000
Cd 0.0000 0.5000 0.5000
Cd 0.5000 0.0000 0.5000
Fe 0.5000 0.5000 0.0000
Pt 0.0000 0.0000 0.5000


DFT (PBE) results for a relaxed structure of LiAlZn.

Properties
VASP energy (eV/atom): -2.426
ΔH_f (0 K) (meV per atom): -116
Excess energy over the best structure of this formula in the dataset (eV/atom): 0.002

Cell: 2.8519 4.0389 8.0327 Å, 90.00 90.00 90.00°
Fractional coordinates of all 6 atoms:
Li 0.0000 0.0000 0.0000
Li 0.5000 0.5000 0.5000
Al 0.0000 0.0000 0.3317
Al 0.5000 0.5000 0.8317
Zn 0.0000 0.0000 0.6675
Zn 0.5000 0.5000 0.1675


DFT (PBE) results for a relaxed structure of AlZn6Ag5.

Properties
VASP energy (eV/atom): -2.153
ΔH_f (0 K) (meV per atom): -17

Cell: 7.4884 7.4884 4.1467 Å, 105.14 105.14 110.45°
Fractional coordinates of all 12 atoms:
Al 0.0000 0.0000 0.0000
Zn 0.0838 0.4155 0.2495
Zn 0.2505 0.2505 0.7530
Zn 0.4155 0.0838 0.2495
Zn 0.5845 0.9162 0.7505
Zn 0.7495 0.7495 0.2470
Zn 0.9162 0.5845 0.7505
Ag 0.1640 0.8360 0.5000
Ag 0.3337 0.6663 0.0000
Ag 0.5000 0.5000 0.5000
Ag 0.6663 0.3337 0.0000
Ag 0.8360 0.1640 0.5000


DFT (PBE) results for a relaxed structure of AgPAu.

Properties
VASP energy (eV/atom): -3.609
ΔH_f (0 K) (meV per atom): 238
Excess energy over the best structure of this formula in the dataset (eV/atom): 0.049

Cell: 4.2373 4.2373 3.5880 Å, 90.00 90.00 120.00°
Fractional coordinates of all 3 atoms:
Ag 0.0000 0.0000 0.0000
P 0.3333 0.6667 0.5000
Au 0.6667 0.3333 0.5000


DFT (PBE) results for a relaxed structure of Ca6MgTl.

Properties
VASP energy (eV/atom): -2.136
ΔH_f (0 K) (meV per atom): -140
Excess energy over the best structure of this formula in the dataset (eV/atom): 0.000

Cell: 5.5340 5.5340 18.7618 Å, 90.00 90.00 90.00°
Fractional coordinates of all 16 atoms:
Ca 0.0000 0.0000 0.2484
Ca 0.0000 0.0000 0.7516
Ca 0.0000 0.5000 0.1019
Ca 0.0000 0.5000 0.3981
Ca 0.0000 0.5000 0.6019
Ca 0.0000 0.5000 0.8981
Ca 0.5000 0.0000 0.1019
Ca 0.5000 0.0000 0.3981
Ca 0.5000 0.0000 0.6019
Ca 0.5000 0.0000 0.8981
Ca 0.5000 0.5000 0.2516
Ca 0.5000 0.5000 0.7484
Mg 0.0000 0.0000 0.0000
Mg 0.5000 0.5000 0.5000
Tl 0.0000 0.0000 0.5000
Tl 0.5000 0.5000 0.0000